Record 1
The following is a DFT calculation (PBE-GGA) of an optimized crystal structure of SmScPO.

Values from the calculation:
As for the space group: No. 129. The crystal system is tetragonal. For the total energy, the calculation gives -7.00 eV per atom. Its spin magnetization is 0.830 μB/cell. The calculation puts the energy above the most stable polymorph in this dataset at 0.4585 eV per atom.

Cell: 4.460 4.460 8.762 Å, 90.00 90.00 90.00°
Positions (direct):
1 O 0.750 0.250 0.000
2 O 0.250 0.750 0.000
3 P 0.750 0.750 0.312
4 P 0.250 0.250 0.688
5 Sc 0.750 0.750 0.022
6 Sc 0.250 0.250 0.978
7 Sm 0.750 0.250 0.500
8 Sm 0.250 0.750 0.500


Record 2
The following is a DFT calculation (PBE-GGA) of an optimized crystal structure of SmScPO.

Values from the calculation:
As for the space group: No. 26. The crystal system is orthorhombic. For the total energy, the calculation gives -7.46 eV per atom. Its spin magnetization is 0.829 μB/cell. The calculation puts the energy above the most stable polymorph in this dataset at 0.0000 eV per atom.

Cell: 4.187 4.927 6.959 Å, 90.00 90.00 90.00°
Site moments in Bohr magnetons follow the coordinates.
Positions (direct):
1 O 0.000 0.165 0.428  -0.01
2 O 0.000 0.835 0.928  -0.01
3 P 0.500 0.647 0.295  -0.01
4 P 0.500 0.353 0.795  -0.01
5 Sc 0.500 0.150 0.444  0.14
6 Sc 0.500 0.850 0.944  0.14
7 Sm 0.000 0.356 0.087  0.09
8 Sm 0.000 0.644 0.587  0.09


Record 3
The following is a DFT calculation (PBE-GGA) of an optimized crystal structure of SmScPO.

Values from the calculation:
As for the space group: No. 129. The crystal system is tetragonal. For the total energy, the calculation gives -7.43 eV per atom. Its spin magnetization is 0.081 μB/cell. The calculation puts the energy above the most stable polymorph in this dataset at 0.0243 eV per atom.

Cell: 4.184 4.184 8.684 Å, 90.00 90.00 90.00°
Positions (direct):
1 O 0.000 0.000 0.000
2 O 0.500 0.500 0.000
3 P 0.500 0.000 0.324
4 P 0.000 0.500 0.676
5 Sc 0.000 0.000 0.500
6 Sc 0.500 0.500 0.500
7 Sm 0.000 0.500 0.121
8 Sm 0.500 0.000 0.879


Record 4
The following is a DFT calculation (PBE-GGA) of an optimized crystal structure of ScTaPO.

Values from the calculation:
As for the space group: No. 26. The crystal system is orthorhombic. For the total energy, the calculation gives -8.85 eV per atom. Its spin magnetization is 0.006 μB/cell. The calculation puts the energy above the most stable polymorph in this dataset at 0.0279 eV per atom.

Cell: 4.055 4.768 6.151 Å, 90.00 90.00 90.00°
Positions (direct):
1 O 0.000 0.603 0.429
2 O 0.000 0.397 0.929
3 P 0.500 0.120 0.292
4 P 0.500 0.880 0.792
5 Sc 0.000 0.818 0.095
6 Sc 0.000 0.182 0.595
7 Ta 0.500 0.617 0.438
8 Ta 0.500 0.383 0.938


Record 5
The following is a DFT calculation (PBE-GGA) of an optimized crystal structure of ScTaPO.

Values from the calculation:
As for the space group: No. 129. The crystal system is tetragonal. For the total energy, the calculation gives -8.25 eV per atom. Its spin magnetization is 0.400 μB/cell. The calculation puts the energy above the most stable polymorph in this dataset at 0.6274 eV per atom.

Cell: 3.597 3.597 8.485 Å, 90.00 90.00 90.00°
Site moments in Bohr magnetons follow the coordinates.
Positions (direct):
1 O 0.000 0.000 0.000  0.00
2 O 0.500 0.500 0.000  0.00
3 P 0.500 0.000 0.272  0.00
4 P 0.000 0.500 0.728  0.00
5 Sc 0.000 0.000 0.500  0.19
6 Sc 0.500 0.500 0.500  0.19
7 Ta 0.000 0.500 0.151  -0.01
8 Ta 0.500 0.000 0.849  -0.01


Record 6
The following is a DFT calculation (PBE-GGA) of an optimized crystal structure of ScTaPO.

Values from the calculation:
As for the space group: No. 129. The crystal system is tetragonal. For the total energy, the calculation gives -8.88 eV per atom. Its spin magnetization is 0.118 μB/cell. The calculation puts the energy above the most stable polymorph in this dataset at 0.0000 eV per atom.

Cell: 3.845 3.845 8.269 Å, 90.00 90.00 90.00°
Positions (direct):
1 O 0.500 0.000 0.000
2 O 0.000 0.500 0.000
3 P 0.500 0.500 0.296
4 P 0.000 0.000 0.704
5 Sc 0.000 0.000 0.113
6 Sc 0.500 0.500 0.887
7 Ta 0.500 0.000 0.500
8 Ta 0.000 0.500 0.500


Record 7
The following is a DFT calculation (PBE-GGA) of an optimized crystal structure of TbScPO.

Values from the calculation:
As for the space group: No. 129. The crystal system is tetragonal. For the total energy, the calculation gives -7.03 eV per atom. Its spin magnetization is 0.584 μB/cell. The calculation puts the energy above the most stable polymorph in this dataset at 0.3982 eV per atom.

Cell: 4.433 4.433 8.567 Å, 90.00 90.00 90.00°
Site moments in Bohr magnetons follow the coordinates.
Positions (direct):
1 O 0.000 0.000 0.000  0.00
2 O 0.500 0.500 0.000  0.00
3 P 0.500 0.000 0.317  -0.01
4 P 0.000 0.500 0.683  -0.01
5 Sc 0.500 0.000 0.019  0.02
6 Sc 0.000 0.500 0.981  0.02
7 Tb 0.000 0.000 0.500  0.15
8 Tb 0.500 0.500 0.500  0.15


Record 8
The following is a DFT calculation (PBE-GGA) of an optimized crystal structure of TbScPO.

Values from the calculation:
As for the space group: No. 26. The crystal system is orthorhombic. For the total energy, the calculation gives -7.39 eV per atom. Its spin magnetization is 0.003 μB/cell. The calculation puts the energy above the most stable polymorph in this dataset at 0.0342 eV per atom.

Cell: 4.171 6.861 5.738 Å, 90.00 90.00 90.00°
Positions (direct):
1 O 0.000 0.839 0.377
2 O 0.000 0.161 0.877
3 P 0.500 0.303 0.425
4 P 0.500 0.697 0.925
5 Sc 0.000 0.886 0.020
6 Sc 0.000 0.114 0.520
7 Tb 0.500 0.701 0.432
8 Tb 0.500 0.299 0.932


Q: Number 5 is which compound?
A: ScTaPO